Density functional theory data (PBE) for Cd4Rh3 after structural relaxation.

Formation energy = -25 meV per atom
Energy relative to the lowest polymorph listed for this composition = 0 meV per atom
DFT total energy = -0.2718 Ry/atom
Space group = No. 139

Cell: 14.101 14.101 14.101 Å, 167.78 167.78 17.32°
Element x y z (fractional)
Cd (0.066, 0.066, 0.000)
Cd (0.348, 0.348, 0.000)
Cd (0.652, 0.652, 0.000)
Cd (0.934, 0.934, 0.000)
Rh (0.221, 0.221, 0.000)
Rh (0.500, 0.500, 0.000)
Rh (0.779, 0.779, 0.000)



Density functional theory data (PBE) for Pd3Au5Br12 after structural relaxation.

DFT total energy = -0.1895 Ry/atom
ΔE_f (raw) = 0.02 eV per atom
Space group = No. 230

Cell: 14.398 14.398 14.398 Å, 109.47 109.47 109.47°
Element x y z (fractional)
Pd (0.125, 0.250, 0.375)
Pd (0.125, 0.375, 0.750)
Pd (0.250, 0.375, 0.125)
Pd (0.250, 0.875, 0.625)
Pd (0.375, 0.125, 0.250)
Pd (0.375, 0.750, 0.125)
Pd (0.625, 0.250, 0.875)
Pd (0.625, 0.875, 0.750)
Pd (0.750, 0.125, 0.375)
Pd (0.750, 0.625, 0.875)
Pd (0.875, 0.625, 0.250)
Pd (0.875, 0.750, 0.625)
Au (0.000, 0.000, 0.000)
Au (0.000, 0.000, 0.500)
Au (0.000, 0.500, 0.000)
Au (0.000, 0.500, 0.500)
Au (0.125, 0.750, 0.875)
Au (0.125, 0.875, 0.250)
Au (0.250, 0.125, 0.875)
Au (0.250, 0.625, 0.375)
Au (0.375, 0.250, 0.625)
Au (0.375, 0.625, 0.750)
Au (0.500, 0.000, 0.000)
Au (0.500, 0.000, 0.500)
Au (0.500, 0.500, 0.000)
Au (0.500, 0.500, 0.500)
Au (0.625, 0.375, 0.250)
Au (0.625, 0.750, 0.375)
Au (0.750, 0.375, 0.625)
Au (0.750, 0.875, 0.125)
Au (0.875, 0.125, 0.750)
Au (0.875, 0.250, 0.125)
Br (0.032, 0.646, 0.209)
Br (0.032, 0.886, 0.823)
Br (0.063, 0.177, 0.709)
Br (0.063, 0.386, 0.354)
Br (0.114, 0.177, 0.968)
Br (0.114, 0.437, 0.146)
Br (0.146, 0.114, 0.437)
Br (0.146, 0.532, 0.709)
Br (0.177, 0.709, 0.063)
Br (0.177, 0.968, 0.114)
Br (0.209, 0.032, 0.646)
Br (0.209, 0.677, 0.563)
Br (0.291, 0.854, 0.468)
Br (0.291, 0.937, 0.823)
Br (0.323, 0.386, 0.532)
Br (0.323, 0.437, 0.791)
Br (0.354, 0.063, 0.386)
Br (0.354, 0.791, 0.968)
Br (0.386, 0.354, 0.063)
Br (0.386, 0.532, 0.323)
Br (0.437, 0.146, 0.114)
Br (0.437, 0.791, 0.323)
Br (0.468, 0.291, 0.854)
Br (0.468, 0.677, 0.614)
Br (0.532, 0.323, 0.386)
Br (0.532, 0.709, 0.146)
Br (0.563, 0.209, 0.677)
Br (0.563, 0.854, 0.886)
Br (0.614, 0.468, 0.677)
Br (0.614, 0.646, 0.937)
Br (0.646, 0.209, 0.032)
Br (0.646, 0.937, 0.614)
Br (0.677, 0.563, 0.209)
Br (0.677, 0.614, 0.468)
Br (0.709, 0.063, 0.177)
Br (0.709, 0.146, 0.532)
Br (0.791, 0.323, 0.437)
Br (0.791, 0.968, 0.354)
Br (0.823, 0.032, 0.886)
Br (0.823, 0.291, 0.937)
Br (0.854, 0.468, 0.291)
Br (0.854, 0.886, 0.563)
Br (0.886, 0.563, 0.854)
Br (0.886, 0.823, 0.032)
Br (0.937, 0.614, 0.646)
Br (0.937, 0.823, 0.291)
Br (0.968, 0.114, 0.177)
Br (0.968, 0.354, 0.791)



Density functional theory data (PBE) for Tb3NdHoTh after structural relaxation.

Formation energy = 27 meV per atom
DFT total energy = -0.3736 Ry/atom
Space group = No. 11

Cell: 7.997 5.073 10.143 Å, 90.00 108.74 90.00°
Element x y z (fractional)
Tb (0.170, 0.250, 0.044)
Tb (0.176, 0.250, 0.543)
Tb (0.177, 0.750, 0.293)
Tb (0.823, 0.250, 0.707)
Tb (0.824, 0.750, 0.457)
Tb (0.830, 0.750, 0.956)
Nd (0.168, 0.750, 0.792)
Nd (0.832, 0.250, 0.208)
Ho (0.499, 0.750, 0.128)
Ho (0.501, 0.250, 0.872)
Th (0.498, 0.250, 0.378)
Th (0.502, 0.750, 0.622)



In the order shown, the computed calculated volume values come out to 126; 2298; 390 Å³ per cell.